Entry 1:
Sr4Dy3YTe8: optimized geometry, PBE.

The structure in POSCAR format:
```
Sr4Dy3YTe8
1.0
-3.377 0.398 8.301
-7.470 -4.461 -2.825
8.082 -3.637 -1.385
Sr Te Y Dy
4 8 1 3
Cartesian
-1.688 0.199 4.151 Sr
2.353 -1.619 3.458 Sr
4.041 -1.819 -0.692 Sr
0.000 0.000 0.000 Sr
0.008 -6.556 2.738 Te
-0.423 -2.761 4.807 Te
-2.772 -1.144 1.354 Te
1.694 -6.754 -1.407 Te
-4.032 -4.735 3.434 Te
-2.341 -4.939 -0.716 Te
-4.458 -0.946 5.499 Te
1.268 -2.965 0.658 Te
-3.735 -2.231 -1.412 Y
-1.382 -3.850 2.046 Dy
0.306 -4.049 -2.105 Dy
-5.423 -2.031 2.738 Dy
```

Properties
**Symmetry**: No. 166
**Calculated volume**: 525.5 Å³ per cell
**Density of states at the Fermi level**: 0.40 states/eV/atom
**Density**: 6.155 g/cm3
**Formation energy (no corrections)**: -1495 meV/atom

Entry 2:
ErAg3Pd6: optimized geometry, PBE.

The structure in POSCAR format:
```
ErAg3Pd6
1.0
4.158 0.000 0.000
0.000 8.918 -0.301
0.000 -0.078 9.186
Pd Ag Er
12 6 2
Cartesian
1.039 2.163 4.532 Pd
3.118 4.804 8.105 Pd
1.039 5.637 6.265 Pd
3.118 7.431 7.125 Pd
1.039 7.620 2.520 Pd
1.039 4.035 0.780 Pd
3.118 8.477 0.573 Pd
1.039 1.408 1.760 Pd
1.039 0.362 8.312 Pd
3.118 3.202 2.620 Pd
3.118 6.676 4.353 Pd
3.118 1.219 6.365 Pd
1.039 2.994 7.277 Ag
3.118 3.933 5.380 Ag
1.039 4.906 3.505 Ag
3.118 2.239 -0.055 Ag
3.118 5.845 1.608 Ag
1.039 6.600 8.940 Ag
3.118 0.572 3.414 Er
1.039 8.267 5.471 Er
```

Properties
**Symmetry**: No. 11
**Calculated volume**: 340.5 Å³ per cell
**Density of states at the Fermi level**: 0.53 states/eV/atom
**Total DFT energy (no corrections)**: -94.8 eV per cell
**Density**: 11.015 g/cm3

Entry 3:
Ba2UTcN5: optimized geometry, PBE.

The structure in POSCAR format:
```
Ba2UTcN5
1.0
-3.558 0.284 0.490
0.557 -4.380 -6.673
0.104 -9.644 6.339
Tc U Ba N
2 2 4 10
Cartesian
-1.797 -9.335 5.601 Tc
-1.061 -8.090 -3.024 Tc
-2.461 -7.481 -0.293 U
-0.484 -1.935 -2.395 U
-0.314 -4.346 0.237 Ba
-2.569 -10.855 0.877 Ba
-2.708 -4.763 -3.661 Ba
-0.207 -7.406 2.784 Ba
-0.798 -2.807 -4.172 N
-2.151 -6.191 1.209 N
-0.115 -0.498 -0.546 N
-0.752 -6.672 -1.598 N
-0.650 -8.636 0.277 N
-2.271 -2.944 -1.542 N
-1.190 -7.171 -4.492 N
-2.114 -10.086 3.737 N
-1.697 -7.621 5.338 N
-2.833 -8.613 -2.341 N
```

Properties
**Symmetry**: No. 36
**Calculated volume**: 324.2 Å³ per cell
**Density of states at the Fermi level**: 0.02 states/eV/atom
**Density**: 6.973 g/cm3
**Formation energy (no corrections)**: -779 meV/atom

Entry 4:
K2YAg: optimized geometry, PBE.

The structure in POSCAR format:
```
K2YAg
1.0
10.631 0.063 -0.041
8.905 5.808 0.041
-9.565 -3.611 2.916
K Ag Y
2 1 1
Cartesian
11.606 3.488 0.000 K
17.698 5.318 0.000 K
5.417 -0.306 1.437 Ag
4.554 2.566 1.478 Y
```

Properties
**Symmetry**: No. 71
**Calculated volume**: 179.0 Å³ per cell
**Excess energy over the best structure of this formula in the dataset**: 70 meV/atom
**Density of states at the Fermi level**: 0.70 states/eV/atom
**Density**: 2.551 g/cm3

Entry 5:
TePSCl2: optimized geometry, PBE.

The structure in POSCAR format:
```
TePSCl2
1.0
-4.335 -1.797 -0.220
1.231 -3.345 3.061
-1.416 2.951 3.794
Cl S Te P
2 1 1 1
Cartesian
0.615 -1.672 1.531 Cl
-2.168 -0.898 -0.110 Cl
-0.708 1.476 1.897 S
-2.260 -1.095 3.317 Te
0.000 0.000 0.000 P
```

Properties
**Symmetry**: No. 123
**Calculated volume**: 110.6 Å³ per cell
**Excess energy over the best structure of this formula in the dataset**: 0 meV/atom
**Density of states at the Fermi level**: 0.72 states/eV/atom
**Density**: 3.927 g/cm3
**Formation energy (no corrections)**: 293 meV/atom

Entry 6:
AlGa8Ir2: optimized geometry, PBE.

The structure in POSCAR format:
```
AlGa8Ir2
1.0
4.968 -0.464 -0.352
-0.587 6.628 0.293
-0.587 2.067 6.304
Al Ir Ga
1 2 8
Cartesian
0.000 0.000 0.000 Al
1.268 1.691 1.283 Ir
2.526 6.541 4.963 Ir
0.071 6.824 5.178 Ga
3.503 4.638 3.519 Ga
3.723 1.408 1.068 Ga
2.536 2.156 3.645 Ga
1.257 6.076 2.601 Ga
1.257 4.141 5.151 Ga
0.291 3.594 2.727 Ga
2.536 4.091 1.095 Ga
```

Properties
**Symmetry**: No. 12
**Calculated volume**: 202.0 Å³ per cell
**Density of states at the Fermi level**: 0.22 states/eV/atom
**Total DFT energy (no corrections)**: -47.9 eV per cell
**Density**: 7.966 g/cm3